NbZnInCu | the Open Quantum Materials Database | PBE | relaxed; energy above the lowest structure with this stoichiometry = 0.054 eV/atom; volume = 67.7 Å³/cell
1.0
-1.019 -3.966 2.040
-0.105 -0.263 4.566
-3.996 -0.495 2.171
Cu In Nb Zn
1 1 1 1
Cartesian
-3.839 -3.543 6.583 Cu
0.000 0.000 0.000 In
-1.280 -1.181 2.194 Nb
-2.560 -2.362 4.389 Zn


NbZnInCu | the Open Quantum Materials Database | PBE | relaxed; energy above the lowest structure with this stoichiometry = 0.000 eV/atom; volume = 66.7 Å³/cell
1.0
-0.694 -2.057 4.000
-4.238 -0.910 1.386
-1.481 -4.302 0.120
Cu In Nb Zn
1 1 1 1
Cartesian
-4.809 -5.451 4.130 Cu
0.000 0.000 0.000 In
-3.206 -3.634 2.753 Nb
-1.603 -1.817 1.377 Zn


ZrNbInCu | the Open Quantum Materials Database | PBE | relaxed; energy above the lowest structure with this stoichiometry = 0.000 eV/atom; volume = 76.3 Å³/cell
1.0
0.285 -0.270 4.745
2.247 3.410 2.448
-2.491 3.020 2.710
Cu In Nb Zr
1 1 1 1
Cartesian
0.031 4.620 7.427 Cu
0.000 0.000 0.000 In
0.010 1.540 2.476 Nb
0.021 3.080 4.951 Zr


NdInCu | the Open Quantum Materials Database | PBE | relaxed; final energy = -3.6934 eV per atom; volume = 209.1 Å³/cell
1.0
-6.661 -4.177 -3.322
7.943 -2.128 -2.286
0.130 -2.185 2.487
Cu In Nd
3 3 3
Cartesian
-4.216 -3.777 -0.891 Cu
0.523 -3.346 -0.760 Cu
5.170 -2.460 -0.226 Cu
-1.793 -3.494 -2.976 In
3.075 -2.811 -2.631 In
0.065 -1.093 1.244 In
-2.010 -1.261 -1.002 Nd
2.397 -0.642 -0.690 Nd
0.895 -4.403 -3.916 Nd


NdInCu | the Open Quantum Materials Database | PBE | relaxed; final energy = -4.1167 eV per atom; volume = 217.7 Å³/cell
1.0
7.703 0.011 0.000
-3.842 6.677 0.000
0.000 0.000 4.229
Cu In Nd
3 3 3
Cartesian
3.856 2.234 0.000 Cu
0.007 4.456 0.000 Cu
0.000 0.000 2.115 Cu
-1.949 6.679 0.000 In
6.759 1.652 0.000 In
2.913 5.045 0.000 In
0.682 6.683 2.115 Nd
1.593 2.759 2.115 Nd
5.447 3.932 2.115 Nd


NdInCu4 | the Open Quantum Materials Database | PBE | relaxed; final energy = -3.9553 eV per atom; volume = 98.3 Å³/cell
1.0
3.040 -0.743 4.128
-0.727 -4.129 3.042
3.462 -3.853 0.008
Cu In Nd
4 1 1
Cartesian
3.329 -5.713 6.270 Cu
5.409 -5.576 4.764 Cu
3.538 -7.257 4.225 Cu
5.048 -7.626 6.274 Cu
2.887 -4.362 3.589 In
1.444 -2.181 1.794 Nd


Q: volume of number 6 (NdInCu4)?
A: 98.3 Å³/cell


Q: Which of these has the highest volume?
A: number 5


Q: Look up the volume of the fifth one.
A: 217.7 Å³/cell


Q: Among the records above, which one has the lowest volume?
A: number 2